Material: In2Hg2Te
Method: DFT, meta-GGA SCAN
State: PBEsol geometry

Unit cell a=8.564 b=8.564 c=8.564 alpha=152.20 beta=152.20 gamma=39.72
Element x y z (fractional)
In  0.096  0.096  0.000
In  0.904  0.904  0.000
Hg  0.250  0.750  0.500
Hg  0.750  0.250  0.500
Te  0.500  0.500  0.000

Summary:
Space group: No. 139
M_tot, Bohr magnetons per cell: 0.000
Energy, eV/atom: -48.088
Raw formation energy, eV/atom: -0.02
Crystal system: tetragonal